1.
The following is a GGA-PBEsol calculation of an optimized crystal structure of La2BiN, from Alexandria.

Geometry as POSCAR:
```
La2BiN
1.0
4.7706 0.0000 0.0000
0.0000 4.7706 0.0000
0.0000 0.0000 9.4192
La Bi N
4 2 2
Cartesian
1.1926 1.1926 1.6294
1.1926 3.5779 4.7096
3.5779 1.1926 4.7096
3.5779 3.5779 7.7898
1.1926 1.1926 7.5309
3.5779 3.5779 1.8883
1.1926 1.1926 3.8758
3.5779 3.5779 5.5434
```

=====

2.
The following is a GGA-PBEsol calculation of an optimized crystal structure of LaBi2PdN, from Alexandria.

Geometry as POSCAR:
```
LaBi2PdN
1.0
4.8524 0.0000 0.0000
0.0000 4.8524 0.0000
0.0000 0.0000 4.8125
La Bi Pd N
1 2 1 1
Cartesian
0.0000 0.0000 0.0000
0.0000 2.4262 2.4062
2.4262 0.0000 2.4062
2.4262 2.4262 0.0000
0.0000 0.0000 2.4062
```

=====

3.
The following is a GGA-PBEsol calculation of an optimized crystal structure of LaBiSN2, from Alexandria.

Geometry as POSCAR:
```
LaBiSN2
1.0
4.2905 0.0000 0.0000
0.0000 4.2905 0.0000
0.0000 0.0000 5.6357
La Bi S N
1 1 1 2
Cartesian
0.0000 0.0000 0.0000
2.1452 2.1452 2.8178
0.0000 0.0000 2.8178
0.0000 2.1452 0.0000
2.1452 0.0000 0.0000
```

=====

4.
Na2LaBi2 | Alexandria | GGA-PBEsol | relaxed; formation enthalpy at 0 K = -464 meV/atom
1.0
-2.2328 2.2328 7.6809
2.2328 -2.2328 7.6809
2.2328 2.2328 -7.6809
Na La Bi
2 1 2
Cartesian
2.2328 0.0000 3.8405
0.0000 2.2328 3.8405
0.0000 0.0000 0.0000
0.0000 0.0000 6.1270
0.0000 0.0000 9.2348

=====

5.
NaLa2Bi2 | Alexandria | GGA-PBEsol | relaxed; formation enthalpy at 0 K = -759 meV/atom
1.0
8.7138 0.0000 0.0000
0.0000 8.7138 0.0000
0.0000 0.0000 4.3072
Na La Bi
2 4 4
Cartesian
0.0000 0.0000 0.0000
4.3569 4.3569 0.0000
1.2865 3.0704 2.1536
3.0704 7.4273 2.1536
5.6435 1.2865 2.1536
7.4273 5.6435 2.1536
1.3620 5.7190 0.0000
2.9949 1.3620 0.0000
5.7190 7.3518 0.0000
7.3518 2.9949 0.0000

=====

6.
LaNbNi2Bi | Alexandria | GGA-PBEsol | relaxed; formation enthalpy at 0 K = 771 meV/atom
1.0
4.6309 0.0000 0.0000
0.0000 4.6309 0.0000
0.0000 0.0000 5.4302
La Nb Ni Bi
1 1 2 1
Cartesian
0.0000 0.0000 0.0000
0.0000 0.0000 2.7151
0.0000 2.3155 2.7151
2.3155 0.0000 2.7151
2.3155 2.3155 0.0000

=====

7.
The following is a GGA-PBEsol calculation of an optimized crystal structure of LaTiNbBi2O9, from Alexandria.

Geometry as POSCAR:
```
LaTiNbBi2O9
1.0
5.4514 0.0000 0.0000
0.0000 24.9121 0.0000
0.0000 0.0000 5.4375
La Ti Nb Bi O
4 4 4 8 36
Cartesian
0.0000 0.0000 0.0000
0.0000 12.4561 2.7188
2.7257 0.0000 2.7188
2.7257 12.4561 0.0000
0.0078 2.1284 2.7188
2.7179 14.5845 2.7188
2.7335 10.3276 2.7188
5.4436 22.7837 2.7188
0.0224 14.6469 0.0000
2.7033 2.1908 0.0000
2.7481 22.7213 0.0000
5.4290 10.2652 0.0000
0.0642 19.9067 0.0000
0.3527 17.3813 2.7188
2.3730 4.9252 2.7188
2.6615 7.4506 0.0000
2.7899 17.4615 0.0000
3.0784 19.9869 2.7188
5.0987 7.5309 2.7188
5.3872 5.0055 0.0000
0.0000 0.0000 2.7188
0.0000 12.4561 0.0000
0.2489 3.9398 2.7188
0.2525 16.5055 0.0000
1.2354 6.2625 1.3500
1.2354 6.2625 4.0876
1.3496 23.0348 1.3664
1.3496 23.0348 4.0712
1.3590 1.7526 1.3733
1.3590 1.7526 4.0643
1.3667 14.2087 1.3733
1.3667 14.2087 4.0643
1.3761 10.5788 1.3664
1.3761 10.5788 4.0712
1.4903 18.7186 1.3500
1.4903 18.7186 4.0876
2.4732 4.0494 0.0000
2.4768 16.3958 2.7188
2.7257 0.0000 0.0000
2.7257 12.4561 2.7188
2.9746 8.5163 2.7188
2.9782 20.8627 0.0000
3.9611 6.1936 1.3500
3.9611 6.1936 4.0876
4.0753 14.3333 1.3664
4.0753 14.3333 4.0712
4.0847 10.7034 1.3733
4.0847 10.7034 4.0643
4.0924 23.1595 1.3733
4.0924 23.1595 4.0643
4.1018 1.8773 1.3664
4.1018 1.8773 4.0712
4.2160 18.6496 1.3500
4.2160 18.6496 4.0876
5.1989 8.4067 0.0000
5.2025 20.9724 2.7188
```

=====

8.
LaNb2BiPb | Alexandria | GGA-PBEsol | relaxed; formation enthalpy at 0 K = 1243 meV/atom
1.0
5.1962 0.0000 0.0000
0.0000 5.1962 0.0000
0.0000 0.0000 5.7648
La Nb Bi Pb
1 2 1 1
Cartesian
0.0000 0.0000 0.0000
0.0000 2.5981 2.8824
2.5981 0.0000 2.8824
2.5981 2.5981 0.0000
2.5981 2.5981 2.8824

=====

Number 1: N(E_F) 1.265 states/eV/cell, VASP energy -57.59 eV per cell. Number 2: N(E_F) 2.207 states/eV/cell, VASP energy -29.64 eV per cell. Number 3: N(E_F) 3.845 states/eV/cell, VASP energy -28.65 eV per cell. Number 4: N(E_F) 3.671 states/eV/cell, VASP energy -19.04 eV per cell. Number 5: N(E_F) 5.807 states/eV/cell, VASP energy -48.92 eV per cell. Number 6: N(E_F) 5.077 states/eV/cell, VASP energy -28.91 eV per cell. Number 7: N(E_F) 0.000 states/eV/cell, VASP energy -457.67 eV per cell. Number 8: N(E_F) 6.515 states/eV/cell, VASP energy -29.06 eV per cell.